BaCaLaMg | Alexandria | PBE | optimized geometry; formation energy = 0.09 eV/atom
1.0
0.0000 4.2985 4.2985
4.2985 0.0000 4.2985
4.2985 4.2985 0.0000
Ba Ca La Mg
1 1 1 1
direct
0.0000 0.0000 0.0000
0.7500 0.7500 0.7500
0.5000 0.5000 0.5000
0.2500 0.2500 0.2500